# 1
A plane-wave DFT calculation with PBE was carried out for an optimized crystal structure of CaTl3Zn3.

a = 7.612 Å, b = 7.612 Å, c = 7.612 Å
α = 90.00°, β = 90.00°, γ = 90.00°
Space group Pm-3n (No. 223)
Symmetry-distinct sites (fractional):
Ca 0.000 0.000 0.000
Tl 0.000 0.250 0.500
Zn 0.000 0.500 0.250

Results
formation energy = 0.272 eV/atom

=====

# 2
A plane-wave DFT calculation with PBE was carried out for an optimized crystal structure of Ca2TlZn5.

a = 4.430 Å, b = 16.540 Å, c = 9.342 Å
α = 90.00°, β = 90.00°, γ = 90.00°
Space group Cmcm (No. 63)
Symmetry-distinct sites (fractional):
Ca 0.000 0.000 0.000
Ca 0.000 0.200 0.250
Tl 0.000 0.447 0.750
Zn 0.000 0.187 0.611
Zn 0.000 0.343 0.514
Zn 0.000 0.388 0.250

Results
formation energy = -0.241 eV/atom

=====

# 3
A plane-wave DFT calculation with PBE was carried out for an optimized crystal structure of Ca7Tl2Zn2.

a = 8.168 Å, b = 11.795 Å, c = 7.760 Å
α = 90.00°, β = 90.00°, γ = 90.00°
Space group Cmmm (No. 65)
Symmetry-distinct sites (fractional):
Ca 0.000 0.000 0.000
Ca 0.000 0.500 0.243
Ca 0.250 0.250 0.271
Tl 0.180 0.000 0.500
Zn 0.000 0.291 0.000

Results
formation energy = -0.109 eV/atom

=====

# 4
A plane-wave DFT calculation with PBE was carried out for an optimized crystal structure of CaTl2Zn2.

a = 8.009 Å, b = 8.009 Å, c = 3.840 Å
α = 90.00°, β = 90.00°, γ = 90.00°
Space group P4/mbm (No. 127)
Symmetry-distinct sites (fractional):
Ca 0.000 0.000 0.000
Tl 0.184 0.316 0.500
Zn 0.115 0.615 0.000

Results
formation energy = -0.074 eV/atom
E above lowest polymorph = 37 meV per atom

=====

# 5
A plane-wave DFT calculation with PBE was carried out for an optimized crystal structure of Ca2Tl2Zn.

a = 7.622 Å, b = 7.622 Å, c = 4.911 Å
α = 90.00°, β = 90.00°, γ = 90.00°
Space group P4/mbm (No. 127)
Symmetry-distinct sites (fractional):
Ca 0.167 0.333 0.000
Tl 0.143 0.643 0.500
Zn 0.000 0.000 0.500

Results
formation energy = -0.228 eV/atom
E above lowest polymorph = 89 meV per atom

=====

# 6
A plane-wave DFT calculation with PBE was carried out for an optimized crystal structure of CaTl2Zn2.

a = 4.375 Å, b = 4.375 Å, c = 12.894 Å
α = 90.00°, β = 90.00°, γ = 90.00°
Space group I4/mmm (No. 139)
Symmetry-distinct sites (fractional):
Ca 0.000 0.000 0.000
Tl 0.000 0.000 0.384
Zn 0.000 0.500 0.250

Results
formation energy = -0.062 eV/atom
E above lowest polymorph = 48 meV per atom